Entry 1:
A plane-wave DFT calculation with PBE was carried out for crystalline Si2NiTeCl at its relaxed geometry.

Calculated values
Final energy = -4.06 eV/atom
Formation energy (no corrections) = 268 meV/atom

abc: 4.706 4.706 4.444
angles: 90.00 90.00 90.00
Positions (direct):
Si 0.000 0.500 0.000
Si 0.500 0.000 0.000
Ni 0.000 0.000 0.000
Te 0.500 0.500 0.500
Cl 0.000 0.000 0.500

=====

Entry 2:
A plane-wave DFT calculation with PBE was carried out for crystalline SiNiWCl2 at its relaxed geometry.

Calculated values
Final energy = -4.55 eV/atom
Formation energy (no corrections) = 1023 meV/atom

abc: 4.229 4.229 5.564
angles: 90.00 90.00 90.00
Positions (direct):
Si 0.000 0.000 0.000
Ni 0.500 0.500 0.500
W 0.500 0.500 0.000
Cl 0.000 0.500 0.500
Cl 0.500 0.000 0.500

=====

Entry 3:
A plane-wave DFT calculation with PBE was carried out for crystalline Si2NiWCl at its relaxed geometry.

Calculated values
Final energy = -4.89 eV/atom
Formation energy (no corrections) = 1394 meV/atom

abc: 4.548 4.548 3.930
angles: 90.00 90.00 90.00
Positions (direct):
Si 0.000 0.500 0.000
Si 0.500 0.000 0.000
Ni 0.000 0.000 0.500
W 0.500 0.500 0.500
Cl 0.000 0.000 0.000

=====

Entry 4:
A plane-wave DFT calculation with PBE was carried out for crystalline SiNiW2Cl at its relaxed geometry.

Calculated values
Final energy = -6.32 eV/atom
Formation energy (no corrections) = 1470 meV/atom

abc: 4.666 4.666 4.101
angles: 90.00 90.00 90.00
Positions (direct):
Si 0.000 0.000 0.000
Ni 0.000 0.000 0.500
W 0.000 0.500 0.000
W 0.500 0.000 0.000
Cl 0.500 0.500 0.500

=====

Entry 5:
A plane-wave DFT calculation with PBE was carried out for crystalline Sm4NiCl5 at its relaxed geometry.

Calculated values
Energy above the most stable polymorph in this dataset = 25.2 meV per atom
Final energy = -4.97 eV/atom
Formation energy (no corrections) = -1580 meV/atom

abc: 9.491 9.491 8.366
angles: 90.42 90.42 24.21
Positions (direct):
Sm 0.000 0.000 0.227
Sm 0.000 0.000 0.773
Sm 0.357 0.357 0.998
Sm 0.643 0.643 0.002
Ni 0.500 0.500 0.000
Cl 0.157 0.157 0.237
Cl 0.157 0.157 0.767
Cl 0.500 0.500 0.500
Cl 0.843 0.843 0.233
Cl 0.843 0.843 0.763

=====

Entry 6:
A plane-wave DFT calculation with PBE was carried out for crystalline Sm3NiCl3 at its relaxed geometry.

Calculated values
Final energy = -5.07 eV/atom
Formation energy (no corrections) = -1434 meV/atom

abc: 9.942 9.942 9.942
angles: 109.47 109.47 109.47
Positions (direct):
Sm 0.013 0.025 0.263
Sm 0.013 0.487 0.750
Sm 0.025 0.263 0.013
Sm 0.237 0.263 0.750
Sm 0.237 0.475 0.487
Sm 0.263 0.013 0.025
Sm 0.263 0.750 0.237
Sm 0.475 0.487 0.237
Sm 0.487 0.237 0.475
Sm 0.487 0.750 0.013
Sm 0.750 0.013 0.487
Sm 0.750 0.237 0.263
Ni 0.000 0.250 0.500
Ni 0.250 0.250 0.250
Ni 0.250 0.500 0.000
Ni 0.500 0.000 0.250
Cl 0.250 0.753 0.747
Cl 0.250 0.997 0.503
Cl 0.503 0.250 0.997
Cl 0.503 0.753 0.507
Cl 0.507 0.503 0.753
Cl 0.747 0.250 0.753
Cl 0.747 0.997 0.993
Cl 0.753 0.507 0.503
Cl 0.753 0.747 0.250
Cl 0.993 0.747 0.997
Cl 0.997 0.503 0.250
Cl 0.997 0.993 0.747